Material: Tl2AgBr2
Method: DFT, PBE-GGA
State: relaxed

Values from the calculation:
Formation energy from raw total energies in eV/atom: -0.3078
Calculated total energy in eV for the cell shown: -24.94
ρ in g/cm3: 7.09
Space-group type: P4/mbm

POSCAR file:
```
Tl2AgBr2
1.0
8.187 0.000 0.000
0.000 8.187 0.000
0.000 0.000 4.727
Tl Ag Br
4 2 4
direct
0.164 0.336 0.000
0.336 0.836 0.000
0.664 0.164 0.000
0.836 0.664 0.000
0.000 0.000 0.000
0.500 0.500 0.000
0.157 0.657 0.500
0.343 0.157 0.500
0.657 0.843 0.500
0.843 0.343 0.500
```